1.
12
Lattice="4.749 0.000 0.000 -2.375 4.113 0.000 0.000 0.000 7.715" Properties=species:S:1:pos:R:3 comment="NbNi2, PBEsol geometry, DFT meta-GGA SCAN" formation_energy_ev_per_fu=-0.5 pbc="T T T"
Ni 0.000 0.000 3.858
Ni 0.000 1.386 5.786
Nb 2.375 1.371 7.283
Ni 2.375 2.727 1.929
Ni 3.549 0.693 1.929
Ni 1.174 3.420 5.786
Nb 2.375 1.371 4.290
Ni 0.000 0.000 0.000
Nb 0.000 2.742 3.425
Ni -1.174 3.420 5.786
Nb 0.000 2.742 0.433
Ni 1.201 0.693 1.929

2.
24
Lattice="4.766 0.000 -0.006 0.000 5.720 0.000 -0.138 0.000 9.792" Properties=species:S:1:pos:R:3 comment="NbNi3P4O16, PBEsol geometry, DFT meta-GGA SCAN" e_form_raw_ev_per_atom=-2.131 pbc="T T T"
O 3.606 0.000 6.007
Ni 4.511 0.000 2.599
O 1.124 1.198 1.650
O 3.387 0.000 1.072
Nb 0.088 2.860 7.099
O 3.548 1.685 8.206
O 1.033 4.522 6.541
O 3.507 1.643 3.217
O 3.213 2.860 0.677
O 0.747 0.000 4.292
O 1.033 1.197 6.541
O 1.357 2.860 8.594
P 0.318 0.000 5.726
O 3.507 4.077 3.217
O 1.424 0.000 9.213
P 1.865 0.000 0.926
O 3.925 2.860 5.418
P 2.834 2.860 9.011
P 4.242 2.860 3.843
Ni 2.524 0.000 7.632
O 0.982 2.860 3.825
Ni 2.089 2.860 2.267
O 3.548 4.035 8.206
O 1.124 4.522 1.650

3.
34
Lattice="-6.609 -5.193 -1.668 -4.213 -3.775 6.436 -8.246 2.798 1.948" Properties=species:S:1:pos:R:3 comment="Nb3NiP6O24, PBEsol geometry, DFT meta-GGA SCAN" e_form_raw_ev_per_atom=-2.449 pbc="T T T"
O -7.616 -0.838 5.276
O -11.587 -2.234 4.692
Nb -12.809 -6.489 4.921
O -9.338 -3.937 6.698
P -7.908 -4.266 6.333
O -9.898 -2.336 -0.065
O -7.412 -3.927 2.132
P -11.351 -2.033 0.373
P -12.381 -3.184 5.639
O -15.403 -3.829 3.529
O -11.940 -3.158 7.075
O -9.526 -0.525 3.761
P -6.610 -2.914 1.282
Nb -7.552 -5.559 3.205
Nb -11.457 -0.686 3.506
Ni -6.203 0.250 1.790
O -9.475 -5.625 2.846
O -11.256 -1.797 1.911
P -8.264 0.197 4.324
O -5.171 -3.450 1.181
P -10.725 -6.268 2.199
O -6.870 -3.148 6.626
O -15.962 -4.442 6.191
O -11.337 -5.205 1.314
O -11.618 -6.752 3.375
O -12.299 -4.571 4.956
O -3.130 -1.774 0.532
O -7.342 0.762 3.280
O -7.891 -4.476 4.800
O -6.756 -1.575 1.971
O -7.200 -2.993 -0.154
O -12.367 -3.058 -0.047
O -3.642 -2.346 3.141
O -13.859 -2.718 5.569

4.
10
Lattice="3.149 0.000 0.000 0.000 6.661 0.000 0.000 0.000 6.661" Properties=species:S:1:pos:R:3 comment="Nb2Ni2Os, PBEsol geometry, DFT meta-GGA SCAN" formation_energy_ev_per_fu=-1.2 pbc="T T T"
Ni 0.000 5.844 4.148
Nb 1.574 2.132 1.199
Nb 1.574 4.529 5.462
Ni 0.000 0.817 2.513
Nb 1.574 5.462 2.132
Ni 0.000 2.513 5.844
Os 0.000 3.330 3.330
Ni 0.000 4.148 0.817
Os 0.000 0.000 0.000
Nb 1.574 1.199 4.529